# 1
This record from the Alexandria database describes Tl2CdOs after structural relaxation. The functional is GGA-PBEsol.

Summary:
As for the relative energy among the computed polymorphs: 0.42 eV/f.u. As for the space group: I-4m2. As for the formation energy: 734 meV/atom.

abc: 5.369 5.369 5.369
angles: 134.33 134.33 66.57
Fractional positions:
Tl: 0.000 0.000 0.000
Tl: 0.750 0.250 0.500
Cd: 0.500 0.500 0.000
Os: 0.250 0.750 0.500

***

# 2
This record from the Alexandria database describes Tl2CdOs after structural relaxation. The functional is GGA-PBEsol.

Summary:
As for the relative energy among the computed polymorphs: 0.00 eV/f.u. As for the space group: P4mm. As for the formation energy: 627 meV/atom.

abc: 3.080 3.080 9.007
angles: 90.00 90.00 90.00
Fractional positions:
Tl: 0.000 0.000 0.000
Tl: 0.500 0.500 0.312
Cd: 0.000 0.000 0.595
Os: 0.500 0.500 0.791

***

# 3
This record from the Alexandria database describes TlCdOs after structural relaxation. The functional is GGA-PBEsol.

Summary:
As for the relative energy among the computed polymorphs: 1.60 eV/f.u. As for the space group: F-43m. As for the formation energy: 1364 meV/atom.

abc: 4.475 4.475 4.475
angles: 60.00 60.00 60.00
Fractional positions:
Tl: 0.000 0.000 0.000
Cd: 0.750 0.750 0.750
Os: 0.500 0.500 0.500

***

# 4
This record from the Alexandria database describes TlCdOs after structural relaxation. The functional is GGA-PBEsol.

Summary:
As for the relative energy among the computed polymorphs: 0.00 eV/f.u. As for the space group: Fmm2. As for the formation energy: 830 meV/atom.

abc: 8.687 8.460 2.864
angles: 84.90 75.93 19.17
Fractional positions:
Tl: 0.000 0.000 0.000
Cd: 0.296 0.296 0.704
Os: 0.652 0.652 0.348

***

# 5
This record from the Alexandria database describes CdOsW2 after structural relaxation. The functional is GGA-PBEsol.

Summary:
As for the space group: R3m. As for the formation energy: 358 meV/atom.

abc: 9.633 9.633 9.633
angles: 16.72 16.72 16.72
Fractional positions:
Cd: 0.000 0.000 0.000
Os: 0.247 0.247 0.247
W: 0.507 0.507 0.507
W: 0.756 0.756 0.756

***

# 6
This record from the Alexandria database describes Cd2OsW after structural relaxation. The functional is GGA-PBEsol.

Summary:
As for the relative energy among the computed polymorphs: 0.00 eV/f.u. As for the space group: Cmm2. As for the formation energy: 405 meV/atom.

abc: 2.779 2.779 9.835
angles: 90.00 90.00 115.24
Fractional positions:
Cd: 0.000 0.000 0.000
Cd: 0.500 0.500 0.275
Os: 0.000 0.000 0.529
W: 0.500 0.500 0.742

***

# 7
This record from the Alexandria database describes CdOsW2 after structural relaxation. The functional is GGA-PBEsol.

Summary:
As for the space group: Cm. As for the formation energy: 495 meV/atom.

abc: 4.944 4.944 4.860
angles: 101.84 101.84 33.48
Fractional positions:
Cd: 0.000 0.000 0.000
Os: 0.239 0.239 0.730
W: 0.510 0.510 0.508
W: 0.765 0.765 0.269

***

# 8
This record from the Alexandria database describes Cd2OsW after structural relaxation. The functional is GGA-PBEsol.

Summary:
As for the relative energy among the computed polymorphs: 2.56 eV/f.u. As for the space group: Fm-3m. As for the formation energy: 1044 meV/atom.

abc: 4.529 4.529 4.529
angles: 60.00 60.00 60.00
Fractional positions:
Cd: 0.250 0.250 0.250
Cd: 0.750 0.750 0.750
Os: 0.000 0.000 0.000
W: 0.500 0.500 0.500